<P>
The following is a meta-GGA SCAN calculation of a crystal of NiSeIN2 relaxed with PBEsol, from Alexandria.

Summary:
* DOS at the Fermi energy: 3.35 states/eV per cell

Unit cell a=3.8299 b=3.8299 c=5.8201 alpha=90.00 beta=90.00 gamma=90.00
Space group P4/mmm (No. 123)
Unique sites:
Ni 0.0000 0.0000 0.0000
Se 0.5000 0.5000 0.0000
I 0.5000 0.5000 0.5000
N 0.0000 0.5000 0.5000


<Q>
The following is a meta-GGA SCAN calculation of a crystal of NiSeIN2 relaxed with PBEsol, from Alexandria.

Summary:
* DOS at the Fermi energy: 3.37 states/eV per cell

Unit cell a=3.6603 b=3.6603 c=6.9659 alpha=90.00 beta=90.00 gamma=90.00
Space group P4/mmm (No. 123)
Unique sites:
Ni 0.0000 0.0000 0.0000
Se 0.5000 0.5000 0.5000
I 0.5000 0.5000 0.0000
N 0.0000 0.5000 0.5000


The least stable of them is <P>.


<P>
The following is a meta-GGA SCAN calculation of a crystal of TeOsIN2 relaxed with PBEsol, from Alexandria.

Summary:
* DOS at the Fermi energy: 1.69 states/eV per cell

Unit cell a=3.9602 b=3.9602 c=5.7324 alpha=90.00 beta=90.00 gamma=90.00
Space group P4/mmm (No. 123)
Unique sites:
Te 0.0000 0.0000 0.0000
Os 0.0000 0.0000 0.5000
I 0.5000 0.5000 0.0000
N 0.0000 0.5000 0.5000


<Q>
The following is a meta-GGA SCAN calculation of a crystal of TeOsIN2 relaxed with PBEsol, from Alexandria.

Summary:
* DOS at the Fermi energy: 4.18 states/eV per cell

Unit cell a=3.9034 b=3.9034 c=6.7319 alpha=90.00 beta=90.00 gamma=90.00
Space group P4/mmm (No. 123)
Unique sites:
Te 0.0000 0.0000 0.0000
Os 0.5000 0.5000 0.5000
I 0.0000 0.0000 0.5000
N 0.0000 0.5000 0.0000


The least stable of them is <Q>.